1.
NaReBr2 (PBE, relaxed); energy relative to the elements, uncorrected = 1.8 eV/f.u.; polymorph energy (0 for the lowest one) = 147 meV per atom; raw total energy = -3.833 eV per atom; magnetic moment = 0.5 μB/cell
1.0
1.942 1.121 8.889
-1.942 1.121 8.889
0.000 -2.243 8.889
Na Re Br
1 1 2
Direct
0.000 0.000 0.000
0.500 0.500 0.500
0.119 0.119 0.119
0.881 0.881 0.881

---

2.
NaReBr2 (PBE, relaxed); energy relative to the elements, uncorrected = 2.0 eV/f.u.; polymorph energy (0 for the lowest one) = 194 meV per atom; raw total energy = -3.787 eV per atom; magnetic moment = 0.9 μB/cell
1.0
-2.842 2.842 6.911
2.842 -2.842 6.911
2.842 2.842 -6.911
Na Re Br
2 2 4
Direct
0.000 0.000 0.000
0.750 0.250 0.500
0.250 0.750 0.500
0.500 0.500 0.000
0.187 0.625 0.062
0.375 0.437 0.562
0.563 0.125 0.938
0.875 0.813 0.438

---

3.
Na3ReBr7 (PBE, relaxed); energy relative to the elements, uncorrected = -10.2 eV/f.u.; raw total energy = -3.486 eV per atom; magnetic moment = 3.0 μB/cell
1.0
6.716 -4.340 0.000
6.716 4.340 0.000
-2.704 0.000 6.851
Na Re Br
3 1 7
Direct
0.000 0.000 0.000
0.322 0.763 0.474
0.763 0.322 0.474
0.542 0.542 0.975
0.217 0.632 0.751
0.418 0.418 0.166
0.448 0.866 0.190
0.632 0.217 0.751
0.664 0.664 0.777
0.866 0.448 0.190
0.953 0.953 0.338

---

4.
Na3ReBr (PBE, relaxed); energy relative to the elements, uncorrected = 4.9 eV/f.u.; polymorph energy (0 for the lowest one) = 205 meV per atom; raw total energy = -2.643 eV per atom; magnetic moment = 3.3 μB/cell
1.0
5.876 0.000 0.000
0.000 5.876 0.000
0.000 0.000 5.876
Na Re Br
3 1 1
Direct
0.000 0.000 0.500
0.000 0.500 0.000
0.500 0.000 0.000
0.000 0.000 0.000
0.500 0.500 0.500

---

5.
NaRe2Br (PBE, relaxed); energy relative to the elements, uncorrected = 8.0 eV/f.u.; polymorph energy (0 for the lowest one) = 441 meV per atom; raw total energy = -4.963 eV per atom; magnetic moment = 0.0 μB/cell
1.0
0.000 3.188 3.188
3.188 0.000 3.188
3.188 3.188 0.000
Na Re Br
1 2 1
Direct
0.000 0.000 0.000
0.250 0.250 0.250
0.750 0.750 0.750
0.500 0.500 0.500

---

6.
NaRe2Br (PBE, relaxed); energy relative to the elements, uncorrected = 6.3 eV/f.u.; polymorph energy (0 for the lowest one) = 0 meV per atom; raw total energy = -5.404 eV per atom; magnetic moment = 0.0 μB/cell
1.0
-4.096 4.096 2.357
4.096 -4.096 2.357
4.096 4.096 -2.357
Na Re Br
2 4 2
Direct
0.000 0.000 0.000
0.750 0.250 0.500
0.191 0.625 0.066
0.375 0.441 0.566
0.559 0.125 0.934
0.875 0.809 0.434
0.250 0.750 0.500
0.500 0.500 0.000